Entry P
# NaSc2H

A PBEsol-optimized structure of NaSc2H (meta-GGA SCAN, Alexandria via LeMat-Bulk).

The structure in extended XYZ format:
```
4
Lattice="1.631 0.942 9.551 -1.631 0.942 9.551 0.000 -1.883 9.551" Properties=species:S:1:pos:R:3 pbc="T T T"
Na 0.000 0.000 0.000
Sc 0.000 0.000 12.528
Sc 0.000 0.000 16.125
H 0.000 0.000 14.326
```

## Properties
- Volume: 88.0 Å³/f.u.



Entry Q
# NaSc2H

A PBEsol-optimized structure of NaSc2H (meta-GGA SCAN, Alexandria via LeMat-Bulk).

The structure in extended XYZ format:
```
4
Lattice="0.000 3.406 3.406 3.406 0.000 3.406 3.406 3.406 0.000" Properties=species:S:1:pos:R:3 pbc="T T T"
Na 0.000 0.000 0.000
Sc 1.703 1.703 1.703
Sc 5.109 5.109 5.109
H 3.406 3.406 3.406
```

## Properties
- Volume: 79.0 Å³/f.u.



Stability summary - winner: entry P; margin: 53.1 kJ/mol of atoms.



Entry P
# NaTeH2

A PBEsol-optimized structure of NaTeH2 (meta-GGA SCAN, Alexandria via LeMat-Bulk).

The structure in extended XYZ format:
```
8
Lattice="-2.171 2.171 7.367 2.171 -2.171 7.367 2.171 2.171 -7.367" Properties=species:S:1:pos:R:3 pbc="T T T"
Na 2.171 1.086 1.842
Na 0.000 1.086 5.525
Te 2.171 -1.086 5.525
Te 0.000 3.257 1.842
H 0.000 0.000 0.000
H 1.086 1.086 -3.684
H 1.086 -1.086 3.684
H 0.000 2.171 0.000
```

## Properties
- Volume: 69.5 Å³/f.u.



Entry Q
# NaTeH2

A PBEsol-optimized structure of NaTeH2 (meta-GGA SCAN, Alexandria via LeMat-Bulk).

The structure in extended XYZ format:
```
4
Lattice="0.000 3.011 3.011 3.011 0.000 3.011 3.011 3.011 0.000" Properties=species:S:1:pos:R:3 pbc="T T T"
Na 0.000 0.000 0.000
Te 3.011 3.011 3.011
H 1.505 1.505 1.505
H 4.516 4.516 4.516
```

## Properties
- Volume: 54.6 Å³/f.u.



Stability summary - winner: entry P; margin: 20.2 kJ/mol of atoms.



Entry P
# Rb2PH3SeO8

A PBEsol-optimized structure of Rb2PH3SeO8 (meta-GGA SCAN, Alexandria via LeMat-Bulk).

The structure in extended XYZ format:
```
30
Lattice="7.446 0.000 0.000 0.000 7.659 0.000 -6.080 0.000 7.647" Properties=species:S:1:pos:R:3 pbc="T T T"
Rb 0.000 0.408 0.000
Rb -3.040 7.251 3.823
Rb -0.999 3.359 3.229
Rb -4.039 4.300 7.052
P -2.485 0.368 7.352
P 0.555 7.291 3.529
H -1.426 2.059 6.290
H 1.614 5.600 2.466
H 3.181 1.824 1.401
H 0.141 5.835 5.225
H 1.631 1.347 4.551
H 4.671 6.312 0.727
Se 2.770 3.417 3.468
Se -0.270 4.242 7.291
O -0.393 0.601 2.895
O -3.434 7.057 6.719
O 2.856 1.551 0.428
O -0.185 6.108 4.251
O -1.571 1.019 6.241
O 1.469 6.640 2.417
O -1.277 3.507 6.175
O 1.763 4.152 2.351
O 1.507 0.278 4.596
O 4.547 7.381 0.773
O 1.810 2.730 4.664
O 4.850 4.929 0.840
O 3.627 2.189 2.712
O 0.587 5.469 6.536
O 6.850 3.171 0.332
O 3.810 4.488 4.155
```

## Properties
- Volume: 218.0 Å³/f.u.



Entry Q
# Rb2PH3SeO8

A PBEsol-optimized structure of Rb2PH3SeO8 (meta-GGA SCAN, Alexandria via LeMat-Bulk).

The structure in extended XYZ format:
```
30
Lattice="7.482 0.000 0.000 -0.039 7.677 0.000 -1.307 -0.074 7.631" Properties=species:S:1:pos:R:3 pbc="T T T"
Rb 0.408 2.340 1.537
Rb 2.458 6.127 2.234
Rb 3.677 1.475 5.397
Rb 5.727 5.262 6.094
P -0.259 1.478 5.650
P 6.394 6.125 1.981
H -0.654 -0.037 3.815
H 0.833 3.153 4.675
H 0.797 7.567 6.788
H 3.721 3.838 0.000
H 5.338 0.036 0.843
H 5.303 4.449 2.956
Se 1.985 5.338 5.798
Se 4.150 2.265 1.833
O -0.420 7.328 2.683
O -0.146 5.123 1.384
O 0.732 2.128 4.593
O 0.665 0.902 6.812
O 1.042 4.655 4.608
O 1.015 6.047 6.948
O 3.276 3.523 1.082
O 3.064 1.230 2.497
O 3.072 6.373 5.134
O 2.860 4.079 6.549
O 5.121 1.555 0.683
O 5.093 2.948 3.023
O 5.470 6.701 0.819
O 5.404 5.475 3.038
O 6.281 2.480 6.247
O 6.556 0.274 4.948
```

## Properties
- Volume: 219.1 Å³/f.u.



Stability summary - winner: entry P; margin: 0.6 kJ/mol of atoms.



Entry P
# TiPHO5

A PBEsol-optimized structure of TiPHO5 (meta-GGA SCAN, Alexandria via LeMat-Bulk).

The structure in extended XYZ format:
```
32
Lattice="7.392 0.000 0.000 0.000 7.002 0.000 -3.429 0.000 6.614" Properties=species:S:1:pos:R:3 pbc="T T T"
Ti -0.007 0.000 3.155
Ti -1.697 3.468 6.428
Ti 5.660 6.969 0.186
Ti 3.969 3.501 3.460
P -2.562 6.228 4.975
P 1.127 4.391 4.947
P 2.836 0.890 1.667
P 6.525 2.727 1.640
H 2.069 4.951 2.095
H 0.593 1.725 5.297
H 3.370 5.226 1.318
H 1.894 1.450 4.519
O -2.557 2.963 4.941
O 0.201 3.601 0.964
O -1.509 0.138 4.328
O -0.187 1.857 2.720
O -1.861 5.333 6.023
O 0.452 5.278 3.884
O 2.196 1.778 0.585
O 1.787 7.001 2.358
O 0.114 3.431 5.613
O 2.814 4.458 1.660
O 1.149 0.957 4.954
O 3.849 6.932 1.002
O 2.176 3.500 4.257
O 1.767 5.279 6.030
O 3.511 1.777 2.730
O 5.824 1.833 0.592
O 4.150 5.358 3.895
O 5.472 3.638 2.287
O 3.762 0.100 5.650
O 6.520 6.464 1.674
```

## Properties
- Volume: 85.6 Å³/f.u.



Entry Q
# TiPHO5

A PBEsol-optimized structure of TiPHO5 (meta-GGA SCAN, Alexandria via LeMat-Bulk).

The structure in extended XYZ format:
```
16
Lattice="5.210 0.000 0.000 -0.859 5.164 0.000 -1.930 -2.735 6.552" Properties=species:S:1:pos:R:3 pbc="T T T"
Ti 0.000 0.000 0.000
Ti -0.965 -1.368 3.276
P 0.711 2.812 1.515
P 1.710 -0.384 5.037
H -1.796 1.548 4.471
H 4.218 0.880 2.081
O -1.894 2.501 4.771
O -0.606 2.584 2.329
O 0.880 1.608 0.576
O 0.591 4.109 0.709
O 0.516 -0.456 4.079
O 1.906 2.884 2.473
O 1.831 -1.680 5.843
O 1.542 0.820 5.976
O 3.027 -0.156 4.222
O 4.316 -0.073 1.781
```

## Properties
- Volume: 88.1 Å³/f.u.



Stability summary - winner: entry P; margin: 1.9 kJ/mol of atoms.



Entry P
# TlPH2O4

A PBEsol-optimized structure of TlPH2O4 (meta-GGA SCAN, Alexandria via LeMat-Bulk).

The structure in extended XYZ format:
```
32
Lattice="4.463 0.000 0.000 0.000 14.417 0.000 0.000 0.000 6.395" Properties=species:S:1:pos:R:3 pbc="T T T"
Tl 0.000 1.936 1.599
Tl 0.000 12.481 4.797
Tl 2.231 5.273 4.797
Tl 2.231 9.144 1.599
P 0.000 5.398 1.599
P 0.000 9.019 4.797
P 2.231 1.810 4.797
P 2.231 12.607 1.599
H 0.000 2.676 4.797
H 0.000 7.209 0.000
H 0.000 7.209 3.198
H 0.000 11.742 1.599
H 2.231 0.000 0.000
H 2.231 0.000 3.198
H 2.231 4.533 1.599
H 2.231 9.884 4.797
O 0.585 6.268 0.460
O 0.585 8.149 3.658
O 1.085 2.721 5.321
O 1.085 11.697 2.123
O 1.147 4.488 2.123
O 1.147 9.929 5.321
O 1.647 0.941 3.658
O 1.647 13.476 0.460
O 2.816 0.941 5.936
O 2.816 13.476 2.738
O 3.316 4.488 1.075
O 3.316 9.929 4.273
O 3.378 2.721 4.273
O 3.378 11.697 1.075
O 3.878 6.268 2.738
O 3.878 8.149 5.936
```

## Properties
- Volume: 102.9 Å³/f.u.



Entry Q
# TlPH2O4

A PBEsol-optimized structure of TlPH2O4 (meta-GGA SCAN, Alexandria via LeMat-Bulk).

The structure in extended XYZ format:
```
64
Lattice="8.996 0.000 0.000 0.000 6.416 0.000 -4.145 0.000 14.365" Properties=species:S:1:pos:R:3 pbc="T T T"
Tl 0.018 1.532 1.777
Tl -2.055 1.676 8.959
Tl 0.364 4.672 12.337
Tl 2.437 4.953 5.154
Tl 2.414 1.464 9.211
Tl 4.487 1.744 2.028
Tl 6.905 4.741 5.406
Tl 4.833 4.884 12.588
P -0.017 1.542 5.344
P -2.089 1.666 12.527
P 0.316 4.795 8.936
P 2.388 4.830 1.753
P 2.462 1.586 12.612
P 4.535 1.622 5.430
P 6.940 4.750 1.839
P 4.867 4.874 9.021
H -2.003 4.732 9.891
H 0.070 4.893 2.708
H -2.018 3.339 14.356
H 0.055 6.285 7.173
H 0.281 3.245 7.230
H 2.354 6.379 0.048
H 0.049 1.525 11.742
H 2.121 1.683 4.559
H 2.729 4.734 9.806
H 4.802 4.891 2.623
H 2.497 0.037 14.318
H 4.569 3.171 7.135
H 4.795 0.131 7.192
H 6.868 3.077 0.010
H 4.781 1.523 11.657
H 6.853 1.685 4.475
O -1.171 1.214 4.332
O -3.244 1.994 11.515
O -2.601 0.643 13.545
O -0.528 2.565 6.363
O 1.709 3.658 0.967
O -0.364 5.966 8.149
O -0.772 4.141 9.808
O 1.301 5.483 2.626
O 0.484 0.237 5.986
O -1.589 2.971 13.169
O -0.929 1.072 11.648
O 1.144 2.136 4.466
O 0.931 3.781 7.912
O 3.003 5.843 0.730
O 3.551 4.307 2.610
O 1.478 5.318 9.793
O 3.372 1.099 4.572
O 1.299 2.110 11.755
O 1.847 0.573 13.635
O 3.920 2.635 6.453
O 3.707 4.280 9.899
O 5.780 5.344 2.717
O 6.439 3.445 1.196
O 4.367 6.179 8.379
O 3.550 0.933 11.740
O 5.622 2.275 4.557
O 5.214 0.450 6.216
O 3.142 2.758 13.399
O 5.379 3.851 8.003
O 7.451 5.773 0.820
O 8.094 4.423 2.851
O 6.022 5.202 10.033
```

## Properties
- Volume: 103.6 Å³/f.u.



Stability summary - winner: entry Q; margin: 1.0 kJ/mol of atoms.



Entry P
# TlPHO2

A PBEsol-optimized structure of TlPHO2 (meta-GGA SCAN, Alexandria via LeMat-Bulk).

The structure in extended XYZ format:
```
5
Lattice="4.080 0.000 0.000 0.000 4.080 0.000 0.000 0.000 5.629" Properties=species:S:1:pos:R:3 pbc="T T T"
Tl 0.000 0.000 0.000
P 0.000 0.000 2.815
H 2.040 2.040 2.815
O 0.000 2.040 0.000
O 2.040 0.000 0.000
```

## Properties
- Volume: 93.7 Å³/f.u.



Entry Q
# TlPHO2

A PBEsol-optimized structure of TlPHO2 (meta-GGA SCAN, Alexandria via LeMat-Bulk).

The structure in extended XYZ format:
```
5
Lattice="4.225 0.000 0.000 0.000 4.225 0.000 0.000 0.000 3.058" Properties=species:S:1:pos:R:3 pbc="T T T"
Tl 0.000 0.000 0.000
P 2.112 2.112 0.000
H 2.112 2.112 1.529
O 0.000 2.112 1.529
O 2.112 0.000 1.529
```

## Properties
- Volume: 54.6 Å³/f.u.



Stability summary - winner: entry Q; margin: 62.3 kJ/mol of atoms.



Entry P
# Zn2PHO5

A PBEsol-optimized structure of Zn2PHO5 (meta-GGA SCAN, Alexandria via LeMat-Bulk).

The structure in extended XYZ format:
```
36
Lattice="8.069 0.000 0.000 0.000 8.285 0.000 0.000 0.000 5.982" Properties=species:S:1:pos:R:3 pbc="T T T"
Zn 0.000 0.000 1.478
Zn 0.000 0.000 4.503
Zn 1.108 3.015 0.000
Zn 2.927 7.157 2.991
Zn 4.035 4.143 1.513
Zn 4.035 4.143 4.469
Zn 5.142 1.128 2.991
Zn 6.961 5.271 0.000
P 2.014 1.998 2.991
P 2.020 6.140 0.000
P 6.049 2.145 0.000
P 6.055 6.288 2.991
H 1.829 0.631 0.000
H 2.206 4.773 2.991
H 5.863 3.512 2.991
H 6.240 7.655 0.000
O 0.652 1.237 2.991
O 0.909 5.049 0.000
O 0.934 1.033 0.000
O 1.878 7.049 1.251
O 1.878 7.049 4.730
O 2.157 2.906 1.740
O 2.157 2.906 4.242
O 3.101 5.175 2.991
O 3.125 0.906 2.991
O 3.382 5.380 0.000
O 4.687 2.906 0.000
O 4.944 7.379 2.991
O 4.969 3.110 2.991
O 5.912 5.380 1.740
O 5.912 5.380 4.242
O 6.191 1.237 1.251
O 6.191 1.237 4.730
O 7.135 7.253 0.000
O 7.160 3.236 0.000
O 7.417 7.049 2.991
```

## Properties
- Volume: 100.0 Å³/f.u.



Entry Q
# Zn2PHO5

A PBEsol-optimized structure of Zn2PHO5 (meta-GGA SCAN, Alexandria via LeMat-Bulk).

The structure in extended XYZ format:
```
18
Lattice="5.512 0.000 0.000 0.263 5.668 0.000 1.397 1.371 6.204" Properties=species:S:1:pos:R:3 pbc="T T T"
Zn 0.661 1.776 1.927
Zn 2.338 4.247 0.043
Zn 4.833 2.792 6.161
Zn 6.511 5.263 4.277
P 2.055 2.485 4.815
P 5.117 4.554 1.390
H 3.016 2.753 1.993
H 4.156 4.286 4.211
O 0.375 4.256 0.069
O 1.212 1.518 3.935
O 2.308 3.793 4.038
O 2.388 2.490 1.272
O 3.414 1.810 5.162
O 3.758 5.229 1.043
O 4.784 4.549 4.933
O 4.864 3.246 2.166
O 5.960 5.521 2.269
O 6.797 2.783 6.136
```

## Properties
- Volume: 96.9 Å³/f.u.



Stability summary - winner: entry Q; margin: 0.8 kJ/mol of atoms.